# SmDy2Co6

Crystalline SmDy2Co6 at its relaxed geometry (PBE-GGA, Alexandria via LeMat-Bulk).

Formation energy   -1.43 eV/f.u.
Space-group type   P6/mmm (191)
Electronic total energy   -6.4437 eV/atom
Total moment   4.4 μB/cell

Cell lengths 4.075, 6.678, 6.678 Å; angles 120.00, 90.00, 90.00 degrees
Positions (direct):
1 Co 0.500 0.665 0.665
2 Co 0.500 0.000 0.665
3 Co 0.500 0.000 0.335
4 Co 0.500 0.335 0.335
5 Co 0.500 0.335 0.000
6 Co 0.500 0.665 0.000
7 Dy 0.000 0.333 0.667
8 Dy 0.000 0.667 0.333
9 Sm 0.000 0.000 0.000


# AcHPb

Crystalline AcHPb at its relaxed geometry (PBE-GGA, Alexandria via LeMat-Bulk).

Space-group type   I4/mmm (139)
Electronic total energy   -4.0609 eV/atom
Total moment   0.0 μB/cell

Cell lengths 4.592, 4.592, 8.534 Å; angles 74.37, 74.37, 89.99 degrees
Positions (direct):
1 Pb 0.904 0.344 0.108
2 Pb 0.404 0.844 0.108
3 H 0.154 0.595 0.608
4 H 0.654 0.094 0.609
5 Ac 0.240 0.180 0.438
6 Ac 0.569 0.509 0.779


# LiHoTiRu

Crystalline LiHoTiRu at its relaxed geometry (PBE-GGA, Alexandria via LeMat-Bulk).

Formation energy   -0.73 eV/f.u.
Space-group type   F-43m (216)
Electronic total energy   -6.0989 eV/atom
Total moment   0.0 μB/cell

Cell lengths 4.639, 4.639, 4.639 Å; angles 60.00, 60.00, 60.00 degrees
Positions (direct):
1 Ho 0.750 0.750 0.750
2 Ru 0.000 0.000 0.000
3 Li 0.500 0.500 0.500
4 Ti 0.250 0.250 0.250


# TcPtS3

Crystalline TcPtS3 at its relaxed geometry (PBE-GGA, Alexandria via LeMat-Bulk).

Space-group type   Pm-3m (221)
Electronic total energy   -5.0056 eV/atom
Formation energy without anion corrections   752.2 meV per atom
Total moment   0.0 μB/cell

Cell lengths 4.574, 4.574, 4.574 Å; angles 90.00, 90.00, 90.00 degrees
Positions (direct):
1 Pt 0.500 0.500 0.500
2 S 0.000 0.000 0.500
3 S 0.500 0.000 0.000
4 S 0.000 0.500 0.000
5 Tc 0.000 0.000 0.000


Repeat the fourth record exactly.
# TcPtS3

Crystalline TcPtS3 at its relaxed geometry (PBE-GGA, Alexandria via LeMat-Bulk).

Space-group type   Pm-3m (221)
Electronic total energy   -5.0056 eV/atom
Formation energy without anion corrections   752.2 meV per atom
Total moment   0.0 μB/cell

Cell lengths 4.574, 4.574, 4.574 Å; angles 90.00, 90.00, 90.00 degrees
Positions (direct):
1 Pt 0.500 0.500 0.500
2 S 0.000 0.000 0.500
3 S 0.500 0.000 0.000
4 S 0.000 0.500 0.000
5 Tc 0.000 0.000 0.000